No. 1
BaTlBr3 | SCAN | PBEsol geometry

symmetry: Pm-3m (221)
crystal system: cubic
size of the total moment: 0.0 Bohr magnetons per cell
density of states at the Fermi level: 0.196 states/eV/f.u.

abc: 5.8553 5.8553 5.8553
angles: 90.00 90.00 90.00
Last column: nearest neighbours and their distance in Å.
Fractional coordinates of all 5 atoms:
Ba (0.0000, 0.0000, 0.0000)  12 Br 4.14
Tl (0.5000, 0.5000, 0.5000)  6 Br 2.93
Br (0.0000, 0.5000, 0.5000)  2 Tl 2.93
Br (0.5000, 0.0000, 0.5000)  2 Tl 2.93
Br (0.5000, 0.5000, 0.0000)  2 Tl 2.93

---

No. 2
Ba2WBr | SCAN | PBEsol geometry

symmetry: C2/m (12)
crystal system: monoclinic
size of the total moment: 5.7 Bohr magnetons per cell
density of states at the Fermi level: 2.144 states/eV/f.u.

abc: 7.8037 3.8415 9.2294
angles: 90.00 101.48 90.00
Last column: nearest neighbours and their distance in Å.
Fractional coordinates of all 8 atoms:
Ba (0.2492, 0.0000, 0.2373)  3 W 3.21-3.25, 3 Br 3.39-3.40
Ba (0.2508, 0.5000, 0.7627)  3 W 3.21-3.25, 3 Br 3.39-3.40
Ba (0.7492, 0.5000, 0.2373)  3 W 3.21-3.25, 3 Br 3.39-3.40
Ba (0.7508, 0.0000, 0.7627)  3 W 3.21-3.25, 3 Br 3.39-3.40
W (0.0000, 0.5000, 0.0000)  6 Ba 3.21-3.25
W (0.5000, 0.0000, 0.0000)  6 Ba 3.21-3.25
Br (0.0000, 0.0000, 0.5000)  6 Ba 3.39-3.40
Br (0.5000, 0.5000, 0.5000)  6 Ba 3.39-3.40

---

No. 3
BaW2Br | SCAN | PBEsol geometry

symmetry: Fm-3m (225)
crystal system: cubic
size of the total moment: 0.0 Bohr magnetons per cell
density of states at the Fermi level: 3.542 states/eV/f.u.
excess energy over the best structure of this formula in the dataset: 7.82 eV/f.u.

abc: 6.7981 6.7981 6.7981
angles: 90.00 90.00 90.00
Last column: nearest neighbours and their distance in Å.
Fractional coordinates of all 16 atoms:
Ba (0.0000, 0.0000, 0.0000)  8 W 2.94
Ba (0.0000, 0.5000, 0.5000)  8 W 2.94
Ba (0.5000, 0.0000, 0.5000)  8 W 2.94
Ba (0.5000, 0.5000, 0.0000)  8 W 2.94
W (0.2500, 0.2500, 0.2500)  4 Ba 2.94, 4 Br 2.94
W (0.2500, 0.2500, 0.7500)  4 Ba 2.94, 4 Br 2.94
W (0.2500, 0.7500, 0.2500)  4 Ba 2.94, 4 Br 2.94
W (0.2500, 0.7500, 0.7500)  4 Ba 2.94, 4 Br 2.94
W (0.7500, 0.2500, 0.2500)  4 Ba 2.94, 4 Br 2.94
W (0.7500, 0.2500, 0.7500)  4 Ba 2.94, 4 Br 2.94
W (0.7500, 0.7500, 0.2500)  4 Ba 2.94, 4 Br 2.94
W (0.7500, 0.7500, 0.7500)  4 Ba 2.94, 4 Br 2.94
Br (0.0000, 0.0000, 0.5000)  8 W 2.94
Br (0.0000, 0.5000, 0.0000)  8 W 2.94
Br (0.5000, 0.0000, 0.0000)  8 W 2.94
Br (0.5000, 0.5000, 0.5000)  8 W 2.94

---

Q: Which energy relative to the elements, uncorrected values were calculated for the entries above? A: -1.32 0.26 2.49, in eV per atom.